Record 1
Na2GePt: relaxed, PBE-GGA.

```
8
Lattice="11.2020 0.0000 0.0000 0.0000 11.2020 0.0000 5.6010 5.6010 2.3319" Properties=species:S:1:pos:R:3 pbc="T T T"
Na 11.1036 2.8005 0.5830
Na 11.3004 8.4015 0.5830
Na 8.4015 5.6994 1.7490
Na 14.0025 5.5026 1.7490
Ge 5.6010 5.6010 0.0000
Ge 5.6010 11.2020 1.1660
Pt 0.0000 0.0000 0.0000
Pt 11.2020 5.6010 1.1660
```

- Density: 3.6 g cm⁻³
- Magnetic moment: 0.00 μB/atom
- Formation energy from the elements: -172 meV per atom

Record 2
Ti2BeAlC: relaxed, PBE-GGA.

```
5
Lattice="4.2345 0.0000 0.0000 0.0000 4.2345 0.0000 0.0000 0.0000 3.5791" Properties=species:S:1:pos:R:3 pbc="T T T"
Be 0.0000 0.0000 1.7896
C 0.0000 0.0000 0.0000
Al 2.1173 2.1173 1.7896
Ti 0.0000 2.1173 0.0000
Ti 2.1173 0.0000 0.0000
```

- ΔE to the lowest computed polymorph: 0 meV/atom
- Density: 3.7 g cm⁻³
- Magnetic moment: 0.00 μB/atom
- Formation energy from the elements: -347 meV per atom

Record 3
ScCo2PdC: relaxed, PBE-GGA.

```
5
Lattice="3.7434 0.0000 0.0000 0.0000 3.7434 0.0000 0.0000 0.0000 4.4999" Properties=species:S:1:pos:R:3 pbc="T T T"
Sc 0.0000 0.0000 2.2500
C 0.0000 0.0000 0.0000
Co 0.0000 1.8717 0.0000
Co 1.8717 0.0000 0.0000
Pd 1.8717 1.8717 2.2500
```

- ΔE to the lowest computed polymorph: 0 meV/atom
- Density: 7.4 g cm⁻³
- Magnetic moment: 0.05 μB/atom
- Formation energy from the elements: -245 meV per atom